(1)
Ga2RuPtN | Alexandria via LeMat-Bulk | PBE-GGA | relaxed; space-group type = No. 123; total DFT energy (no corrections) = -5.746 eV per atom
1.0
4.345 0.000 0.000
0.000 4.345 0.000
0.000 0.000 3.782
Ga Ru Pt N
2 1 1 1
Direct
0.000 0.500 0.000
0.500 0.000 0.000
0.000 0.000 0.500
0.500 0.500 0.500
0.000 0.000 0.000

***

(2)
GaPtSN2 | Alexandria via LeMat-Bulk | PBE-GGA | relaxed; space-group type = No. 123; distance to the lowest polymorph of the same formula = 0.000 eV per atom
1.0
3.710 0.000 0.000
0.000 3.710 0.000
0.000 0.000 8.708
Ga Pt S N
1 1 1 2
Direct
0.000 0.000 0.000
0.500 0.500 0.500
0.500 0.500 0.000
0.000 0.500 0.500
0.500 0.000 0.500

***

(3)
GaPtS2N | Alexandria via LeMat-Bulk | PBE-GGA | relaxed; space-group type = No. 123; distance to the lowest polymorph of the same formula = 0.307 eV per atom
1.0
4.765 0.000 0.000
0.000 4.765 0.000
0.000 0.000 3.785
Ga Pt S N
1 1 2 1
Direct
0.000 0.000 0.000
0.500 0.500 0.000
0.000 0.500 0.500
0.500 0.000 0.500
0.500 0.500 0.500

***

(4)
GaPtS2N | Alexandria via LeMat-Bulk | PBE-GGA | relaxed; space-group type = No. 123; distance to the lowest polymorph of the same formula = 0.532 eV per atom
1.0
4.813 0.000 0.000
0.000 4.813 0.000
0.000 0.000 3.548
Ga Pt S N
1 1 2 1
Direct
0.000 0.000 0.000
0.500 0.500 0.500
0.000 0.500 0.000
0.500 0.000 0.000
0.000 0.000 0.500